## CsKGaAu2 (PBE)

Data for an optimized crystal structure of CsKGaAu2.

Properties
The space group is P4/mmm, No. 123. As for the calculated formation energy: -0.10 eV/atom. The volume comes out at 32.37 Å³/atom.

Cell and atoms, written as extended XYZ:
```
5
Lattice="-2.7526 2.9107 3.2853 -4.2936 -0.9806 -2.7286 -1.0604 -4.8557 3.4137" Properties=species:S:1:pos:R:3 pbc="T T T"
Cs -4.0533 -1.4628 1.9852
K -0.5302 -2.4279 1.7069
Au -2.1468 -0.4903 -1.3643
Au -1.3763 1.4554 1.6426
Ga 0.0000 0.0000 0.0000
```


## Cs2KGaAu (PBE)

Data for an optimized crystal structure of Cs2KGaAu.

Properties
The space group is P4/mmm, No. 123. As for the calculated formation energy: -0.06 eV/atom. The volume comes out at 54.64 Å³/atom. For the offset from the most stable computed form, the calculation gives 0.000 eV per atom.

Cell and atoms, written as extended XYZ:
```
5
Lattice="7.4071 0.0000 0.0000 0.0000 7.4071 0.0000 0.0000 0.0000 4.9793" Properties=species:S:1:pos:R:3 pbc="T T T"
Cs 0.0000 3.7036 0.0000
Cs 3.7036 0.0000 0.0000
K 3.7036 3.7036 2.4897
Au 0.0000 0.0000 0.0000
Ga 0.0000 0.0000 2.4897
```


## CsKGa2Au (PBE)

Data for an optimized crystal structure of CsKGa2Au.

Properties
The space group is P4/mmm, No. 123. As for the calculated formation energy: 0.00 eV/atom. The volume comes out at 34.01 Å³/atom.

Cell and atoms, written as extended XYZ:
```
5
Lattice="-0.1131 5.1242 0.9943 -1.3916 0.9289 -4.9456 -6.0121 -0.4447 1.6081" Properties=species:S:1:pos:R:3 pbc="T T T"
Cs -3.7584 2.8042 -1.1716
K -3.0060 -0.2223 0.8041
Au 0.0000 0.0000 0.0000
Ga -0.6958 0.4645 -2.4728
Ga -0.0565 2.5621 0.4971
```